(1)
{"formula": "K2ZnAg2", "functional": "PBEsol", "state": "relaxed", "lattice": [[-2.5175, 3.8518, 3.7643], [-2.4751, -0.1721, -5.4027], [-5.5925, -1.3153, 1.5293]], "species": ["Ag", "K", "Zn", "K", "Ag"], "frac_coords": [[0.0000, 0.6712, 0.3288], [0.5000, 0.7500, 0.7500], [0.0000, 0.0000, 0.0000], [0.5000, 0.2500, 0.2500], [0.0000, 0.3288, 0.6712]], "space_group": "I4/mmm", "magnetic_moment_mub_per_fu": 0.0, "delta_e_f_kj_per_mol_fu": 117, "dos_ef_per_ev_cell": 2.0}

=====

(2)
{"formula": "K2ZnAg", "functional": "PBEsol", "state": "relaxed", "lattice": [[3.6461, 0.0000, 0.0000], [0.0000, 3.6461, 0.0000], [0.0000, 0.0000, 9.8390]], "species": ["Zn", "K", "Ag", "K"], "frac_coords": [[0.0000, 0.0000, 0.5918], [0.5000, 0.5000, 0.3312], [0.5000, 0.5000, 0.6579], [0.0000, 0.0000, 0.9191]], "space_group": "P4mm", "magnetic_moment_mub_per_fu": 0.0, "delta_e_f_kj_per_mol_fu": 51, "dos_ef_per_ev_cell": 1.7}

=====

(3)
{"formula": "KZn2Ag", "functional": "PBEsol", "state": "relaxed", "lattice": [[2.9355, 0.0000, 0.0000], [0.0000, 5.3825, 0.0000], [-1.4677, -2.6912, 5.1911]], "species": ["Zn", "Ag", "Zn", "K"], "frac_coords": [[0.7458, 0.2458, 0.4915], [0.4584, 0.4584, 0.9167], [0.0432, 0.0432, 0.0863], [0.2527, 0.7527, 0.5054]], "space_group": "Imm2", "de_polymorph_ev_per_atom": 0.247, "magnetic_moment_mub_per_fu": 0.0, "delta_e_f_kj_per_mol_fu": 98, "dos_ef_per_ev_cell": 1.4}

=====

(4)
{"formula": "KZn2Ag", "functional": "PBEsol", "state": "relaxed", "lattice": [[2.8705, 0.0000, 0.0000], [0.0000, 3.8220, 0.0000], [0.0000, 0.0000, 7.6376]], "species": ["K", "Zn", "Ag", "Zn"], "frac_coords": [[0.5000, 0.5000, 0.7531], [0.5000, 0.5000, 0.2486], [0.0000, 0.0000, 0.4235], [0.0000, 0.0000, 0.0748]], "space_group": "Pmm2", "de_polymorph_ev_per_atom": 0.150, "magnetic_moment_mub_per_fu": 0.0, "delta_e_f_kj_per_mol_fu": 61, "dos_ef_per_ev_cell": 1.6}

=====

(5)
{"formula": "KZn2Ag", "functional": "PBEsol", "state": "relaxed", "lattice": [[3.3978, 0.0000, 0.0000], [0.0000, 3.3978, 0.0000], [0.0000, 0.0000, 7.5466]], "species": ["K", "Ag", "Zn", "Zn"], "frac_coords": [[0.5000, 0.5000, 0.5000], [0.5000, 0.5000, 0.0000], [0.0000, 0.0000, 0.1732], [0.0000, 0.0000, 0.8268]], "space_group": "P4/mmm", "de_polymorph_ev_per_atom": 0.157, "magnetic_moment_mub_per_fu": 0.0, "delta_e_f_kj_per_mol_fu": 63, "dos_ef_per_ev_cell": 1.2}

=====

(6)
{"formula": "K2ZnAg", "functional": "PBEsol", "state": "relaxed", "lattice": [[4.2211, 0.0000, 0.0000], [0.0000, 5.4423, -0.0283], [-2.1105, -2.6923, 5.6792]], "species": ["K", "K", "Zn", "Ag"], "frac_coords": [[0.0230, 0.0229, 0.0459], [0.2258, 0.7260, 0.4517], [0.4395, 0.4392, 0.8790], [0.8117, 0.3120, 0.6234]], "space_group": "Imm2", "magnetic_moment_mub_per_fu": 0.0, "delta_e_f_kj_per_mol_fu": 57, "dos_ef_per_ev_cell": 1.9}

=====

Question: Number 6 is which compound?
Answer: K2ZnAg

=====

What did the fifth record say?
{"formula": "KZn2Ag", "functional": "PBEsol", "state": "relaxed", "lattice": [[3.3978, 0.0000, 0.0000], [0.0000, 3.3978, 0.0000], [0.0000, 0.0000, 7.5466]], "species": ["K", "Ag", "Zn", "Zn"], "frac_coords": [[0.5000, 0.5000, 0.5000], [0.5000, 0.5000, 0.0000], [0.0000, 0.0000, 0.1732], [0.0000, 0.0000, 0.8268]], "space_group": "P4/mmm", "de_polymorph_ev_per_atom": 0.157, "magnetic_moment_mub_per_fu": 0.0, "delta_e_f_kj_per_mol_fu": 63, "dos_ef_per_ev_cell": 1.2}